Material: NaLi3Pd
Method: DFT, meta-GGA SCAN
State: PBEsol geometry

a b c (Å): 4.8264 4.8264 4.8264
angles (deg): 90.00 90.00 90.00
Atoms (fractional coordinates):
1 Na 0.0000 0.0000 0.0000
2 Li 0.0000 0.5000 0.5000
3 Li 0.5000 0.0000 0.5000
4 Li 0.5000 0.5000 0.0000
5 Pd 0.5000 0.5000 0.5000

formation energy	-0.6	eV/f.u.
crystal system	cubic



Material: Na2Li2Pd
Method: DFT, meta-GGA SCAN
State: PBEsol geometry

a b c (Å): 6.5266 6.5266 4.9934
angles (deg): 90.00 90.00 90.00
Atoms (fractional coordinates):
1 Na 0.1911 0.3089 0.0000
2 Na 0.3089 0.8089 0.0000
3 Na 0.6911 0.1911 0.0000
4 Na 0.8089 0.6911 0.0000
5 Li 0.1524 0.6524 0.5000
6 Li 0.3476 0.1524 0.5000
7 Li 0.6524 0.8476 0.5000
8 Li 0.8476 0.3476 0.5000
9 Pd 0.0000 0.0000 0.5000
10 Pd 0.5000 0.5000 0.5000

formation energy	-0.3	eV/f.u.
crystal system	tetragonal



Material: NaLiPt2
Method: DFT, meta-GGA SCAN
State: PBEsol geometry

a b c (Å): 6.1478 6.1478 6.1478
angles (deg): 90.00 90.00 90.00
Atoms (fractional coordinates):
1 Na 0.0000 0.0000 0.0000
2 Na 0.0000 0.5000 0.5000
3 Na 0.5000 0.0000 0.5000
4 Na 0.5000 0.5000 0.0000
5 Li 0.0000 0.0000 0.5000
6 Li 0.0000 0.5000 0.0000
7 Li 0.5000 0.0000 0.0000
8 Li 0.5000 0.5000 0.5000
9 Pt 0.2500 0.2500 0.2500
10 Pt 0.2500 0.2500 0.7500
11 Pt 0.2500 0.7500 0.2500
12 Pt 0.2500 0.7500 0.7500
13 Pt 0.7500 0.2500 0.2500
14 Pt 0.7500 0.2500 0.7500
15 Pt 0.7500 0.7500 0.2500
16 Pt 0.7500 0.7500 0.7500

formation energy	-0.4	eV/f.u.
crystal system	cubic